Entry from Alexandria via LeMat-Bulk: a geometry-optimized NaCd4In structure (GGA-PBE).

Summary:
The value obtained for the energy above the most stable polymorph in this dataset is 0.006 eV/atom. As for the total magnetic moment: 0.0000 μB per atom. For the total energy, the calculation gives -1.32 eV/atom. For the formation enthalpy at 0 K, the calculation gives -0.0318 eV/atom.

a b c (Å): 4.4528 7.6567 9.2619
angles (deg): 90.00 103.91 90.00
Atoms (fractional coordinates):
Cd: 0.6618 0.9469 0.3236
Cd: 0.5000 0.5000 0.0000
Cd: 0.6618 0.5531 0.3236
Cd: 0.9358 0.2500 0.8716
Cd: 0.3382 0.0531 0.6764
Cd: 0.3382 0.4469 0.6764
Cd: 0.5000 0.0000 0.0000
Cd: 0.0642 0.7500 0.1284
Na: 0.1143 0.2500 0.2286
Na: 0.8857 0.7500 0.7714
In: 0.7591 0.2500 0.5183
In: 0.2409 0.7500 0.4817